1.
VASP calculation (PBE) on an optimized crystal structure of PrNd3Ho5.

Cell: 9.5809 9.5809 11.7593 Å, 52.15 52.15 72.54°
Closest atoms and distances in Å follow each position.
Atoms (fractional coordinates):
Pr  0.1608  0.1608  0.5927  4 Nd 3.17-3.39, 2 Ho 3.38-3.46
Pr  0.8392  0.8392  0.4073  4 Nd 3.17-3.39, 2 Ho 3.38-3.46
Nd  0.6995  0.6995  0.8085  1 Nd 3.01, 3 Ho 3.20-3.36
Nd  0.6607  0.6607  0.3629  1 Pr 3.17, 2 Nd 3.27-3.41, 2 Ho 3.31-3.43
Nd  0.0000  0.0000  0.0000  4 Ho 2.93-3.21
Nd  0.0000  0.0000  0.5000  2 Nd 3.01
Nd  0.3005  0.3005  0.1915  1 Nd 3.01, 3 Ho 3.20-3.36
Nd  0.3393  0.3393  0.6371  1 Pr 3.17, 2 Nd 3.27-3.41, 2 Ho 3.31-3.43
Ho  0.8473  0.3502  0.2476  3 Ho 3.30-3.66, 2 Nd 3.52-3.56
Ho  0.2585  0.7415  0.0000  1 Nd 2.93
Ho  0.8166  0.8166  0.9593  3 Nd 3.21-3.36, 3 Ho 3.29-3.30, 1 Pr 3.46
Ho  0.4956  0.4956  0.2213  3 Nd 3.20-3.43, 3 Ho 3.29-3.36, 1 Pr 3.38
Ho  0.5044  0.5044  0.7787  3 Nd 3.20-3.43, 3 Ho 3.29-3.36, 1 Pr 3.38
Ho  0.1834  0.1834  0.0407  3 Nd 3.21-3.36, 3 Ho 3.29-3.30, 1 Pr 3.46
Ho  0.3502  0.8473  0.2476  3 Ho 3.30-3.66, 2 Nd 3.52-3.56
Ho  0.7415  0.2585  0.0000  1 Nd 2.93
Ho  0.1527  0.6498  0.7524  3 Ho 3.30-3.66, 2 Nd 3.52-3.56
Ho  0.6498  0.1527  0.7524  3 Ho 3.30-3.66, 2 Nd 3.52-3.56

**Space group**: C2/m (12)
**Energy above the lowest structure with this stoichiometry**: 1.67 eV per formula unit
**Volume**: 37.109 A^3/atom

***

2.
VASP calculation (PBE) on an optimized crystal structure of PrNd9Ho2.

Cell: 5.1700 5.1700 15.5172 Å, 90.00 90.00 90.00°
Closest atoms and distances in Å follow each position.
Atoms (fractional coordinates):
Pr  0.0000  0.0000  0.0000  12 Nd 3.66-3.69
Nd  0.5000  0.5000  0.0000  4 Pr 3.66, 8 Nd 3.69
Nd  0.5000  0.5000  0.3354  8 Nd 3.63-3.65, 4 Ho 3.66
Nd  0.5000  0.5000  0.6646  8 Nd 3.63-3.65, 4 Ho 3.66
Nd  0.5000  0.0000  0.1693  2 Ho 3.64, 8 Nd 3.65-3.69, 2 Pr 3.69
Nd  0.5000  0.0000  0.5000  8 Nd 3.63-3.66, 4 Ho 3.64
Nd  0.5000  0.0000  0.8307  2 Ho 3.64, 8 Nd 3.65-3.69, 2 Pr 3.69
Nd  0.0000  0.5000  0.1693  2 Ho 3.64, 8 Nd 3.65-3.69, 2 Pr 3.69
Nd  0.0000  0.5000  0.5000  8 Nd 3.63-3.66, 4 Ho 3.64
Nd  0.0000  0.5000  0.8307  2 Ho 3.64, 8 Nd 3.65-3.69, 2 Pr 3.69
Ho  0.0000  0.0000  0.3348  12 Nd 3.64-3.66
Ho  0.0000  0.0000  0.6652  12 Nd 3.64-3.66

**Space group**: P4/mmm (123)
**Volume**: 34.563 A^3/atom

***

3.
VASP calculation (PBE) on an optimized crystal structure of Pr4Nd3Ho.

Cell: 7.3522 7.3457 10.4051 Å, 90.00 90.00 90.00°
Closest atoms and distances in Å follow each position.
Atoms (fractional coordinates):
Pr  0.0001  0.8109  0.0000  6 Nd 3.67-3.69, 2 Ho 3.67-3.68, 4 Pr 3.68-3.69
Pr  0.5003  0.3104  0.0000  6 Nd 3.67-3.68, 4 Pr 3.67, 2 Ho 3.67-3.68
Pr  0.7477  0.0605  0.7497  6 Nd 3.64-3.71, 2 Ho 3.67, 4 Pr 3.67-3.69
Pr  0.2523  0.5605  0.7503  6 Nd 3.64-3.71, 2 Ho 3.67, 4 Pr 3.67-3.69
Pr  0.4997  0.8104  0.5000  6 Nd 3.67-3.68, 4 Pr 3.67, 2 Ho 3.67-3.68
Pr  0.9999  0.3109  0.5000  6 Nd 3.67-3.69, 2 Ho 3.67-3.68, 4 Pr 3.68-3.69
Pr  0.2523  0.5605  0.2497  6 Nd 3.64-3.71, 2 Ho 3.67, 4 Pr 3.67-3.69
Pr  0.7477  0.0605  0.2503  6 Nd 3.64-3.71, 2 Ho 3.67, 4 Pr 3.67-3.69
Nd  0.0001  0.3104  0.0000  8 Pr 3.67-3.69, 4 Nd 3.68
Nd  0.2522  0.0606  0.7499  8 Pr 3.64-3.71, 2 Ho 3.67, 2 Nd 3.68
Nd  0.7478  0.5606  0.7501  8 Pr 3.64-3.71, 2 Ho 3.67, 2 Nd 3.68
Nd  0.9999  0.8104  0.5000  8 Pr 3.67-3.69, 4 Nd 3.68
Nd  0.7478  0.5606  0.2499  8 Pr 3.64-3.71, 2 Ho 3.67, 2 Nd 3.68
Nd  0.2522  0.0606  0.2501  8 Pr 3.64-3.71, 2 Ho 3.67, 2 Nd 3.68
Ho  0.5002  0.8108  0.0000  8 Pr 3.67-3.68, 4 Nd 3.67
Ho  0.4998  0.3108  0.5000  8 Pr 3.67-3.68, 4 Nd 3.67

**Space group**: Pmna (53)
**Volume**: 35.122 A^3/atom

***

For each record above, in turn, the calculated D(E_F) values are 12.33 20.17 12.13 states/eV/f.u..
For each record above, in turn, the calculated energy of formation from the pure elements values are 0.50 0.02 0.01 eV per atom.